Entry 1:
## CrReIr2 (GGA-PBE)

Data for a geometry-optimized CrReIr2 structure.

The value obtained for the density of states at the Fermi level is 3.62 states/eV/cell. Its offset from the most stable computed form is 131 meV per atom. The calculation puts the formation energy at -49 kJ/mol of formula units.

Geometry as POSCAR:
```
CrReIr2
1.0
-1.918 1.918 3.812
1.918 -1.918 3.812
1.918 1.918 -3.812
Cr Re Ir
1 1 2
Direct
0.000 0.000 0.000 Cr
0.750 0.250 0.500 Re
0.250 0.750 0.500 Ir
0.500 0.500 0.000 Ir
```

Entry 2:
## CdAsAu2 (GGA-PBE)

Data for a geometry-optimized CdAsAu2 structure.

The value obtained for the density of states at the Fermi level is 1.23 states/eV/cell. Its offset from the most stable computed form is 52 meV per atom. The calculation puts the formation energy at 23 kJ/mol of formula units.

Geometry as POSCAR:
```
CdAsAu2
1.0
2.955 -4.275 0.000
2.955 4.275 0.000
0.000 0.000 3.036
Cd As Au
1 1 2
Direct
0.000 0.000 0.000 Cd
0.500 0.500 0.000 As
0.000 0.500 0.500 Au
0.500 0.000 0.500 Au
```

Entry 3:
## KZrRh2 (GGA-PBE)

Data for a geometry-optimized KZrRh2 structure.

The value obtained for the density of states at the Fermi level is 4.10 states/eV/cell. Its offset from the most stable computed form is 710 meV per atom. The calculation puts the formation energy at 189 kJ/mol of formula units.

Geometry as POSCAR:
```
KZrRh2
1.0
-2.029 2.029 4.667
2.029 -2.029 4.667
2.029 2.029 -4.667
K Zr Rh
1 1 2
Direct
0.000 0.000 0.000 K
0.750 0.250 0.500 Zr
0.250 0.750 0.500 Rh
0.500 0.500 0.000 Rh
```

Entry 4:
## Na2Al3Ga5 (GGA-PBE)

Data for a geometry-optimized Na2Al3Ga5 structure.

The value obtained for the density of states at the Fermi level is 2.56 states/eV/cell. Its offset from the most stable computed form is 18 meV per atom. The calculation puts the formation energy at -68 kJ/mol of formula units.

Geometry as POSCAR:
```
Na2Al3Ga5
1.0
4.259 0.000 0.000
0.000 4.259 0.000
0.000 0.000 11.449
Na Al Ga
2 3 5
Direct
0.000 0.500 0.245 Na
0.500 0.000 0.755 Na
0.000 0.500 0.641 Al
0.500 0.000 0.359 Al
0.500 0.500 0.500 Al
0.000 0.000 0.000 Ga
0.000 0.000 0.500 Ga
0.000 0.500 0.861 Ga
0.500 0.000 0.139 Ga
0.500 0.500 0.000 Ga
```